[1]
VASP calculation (SCAN) on Mg5Sc at its PBEsol-relaxed geometry.

Structure (POSCAR):
```
Mg5Sc
1.0
2.732 1.577 5.293
-2.732 1.577 5.293
0.000 -3.154 5.293
Mg Sc
5 1
Direct
0.000 0.661 0.339
0.164 0.164 0.164
0.339 0.000 0.661
0.661 0.339 0.000
0.836 0.836 0.836
0.500 0.500 0.500
```

Values from the calculation:
Its formation energy from the elements is 0.02 eV/atom. As for the space group: R32, No. 155. The calculation puts the magnetic moment at 0.00 μB per formula unit.



[2]
VASP calculation (SCAN) on TaTiMnCr2 at its PBEsol-relaxed geometry.

Structure (POSCAR):
```
TaTiMnCr2
1.0
4.212 0.000 0.000
0.000 4.212 0.000
0.000 0.000 4.161
Ta Ti Mn Cr
1 1 1 2
Direct
0.000 0.000 0.000
0.500 0.500 0.500
0.500 0.500 0.000
0.000 0.500 0.500
0.500 0.000 0.500
```

Values from the calculation:
Its formation energy from the elements is 1.21 eV/atom. As for the space group: P4/mmm, No. 123. The calculation puts the magnetic moment at 5.81 μB per formula unit.



[3]
VASP calculation (SCAN) on PaBr5 at its PBEsol-relaxed geometry.

Structure (POSCAR):
```
PaBr5
1.0
7.550 0.000 0.000
0.000 11.556 0.000
-0.149 0.000 12.548
Pa Br
4 20
Direct
0.084 0.137 0.392
0.084 0.363 0.892
0.916 0.637 0.108
0.916 0.863 0.608
0.048 0.137 0.905
0.048 0.363 0.405
0.096 0.610 0.911
0.096 0.890 0.411
0.227 0.613 0.204
0.227 0.887 0.704
0.255 0.122 0.211
0.255 0.378 0.711
0.382 0.143 0.503
0.382 0.357 0.003
0.618 0.643 0.997
0.618 0.857 0.497
0.745 0.622 0.289
0.745 0.878 0.789
0.773 0.113 0.296
0.773 0.387 0.796
0.904 0.110 0.589
0.904 0.390 0.089
0.952 0.637 0.595
0.952 0.863 0.095
```

Values from the calculation:
As for the space group: P2_1/c, No. 14. Its uncorrected formation energy is -1486 meV per atom. The calculation puts the magnetic moment at 0.00 μB per formula unit.



[4]
VASP calculation (SCAN) on LaZrTe3 at its PBEsol-relaxed geometry.

Structure (POSCAR):
```
LaZrTe3
1.0
5.916 0.000 0.000
0.000 5.916 0.000
0.000 0.000 5.916
La Zr Te
1 1 3
Direct
0.000 0.000 0.000
0.500 0.500 0.500
0.000 0.000 0.500
0.000 0.500 0.000
0.500 0.000 0.000
```

Values from the calculation:
As for the space group: Pm-3m, No. 221. Its uncorrected formation energy is 96 meV per atom. The calculation puts the magnetic moment at 1.04 μB per formula unit.



[5]
VASP calculation (SCAN) on NaEuCu2F8 at its PBEsol-relaxed geometry.

Structure (POSCAR):
```
NaEuCu2F8
1.0
-2.708 2.708 5.150
2.708 -2.708 5.150
2.708 2.708 -5.150
Na Eu Cu F
1 1 2 8
Direct
0.000 0.000 0.000
0.500 0.500 0.000
0.250 0.750 0.500
0.750 0.250 0.500
0.057 0.547 0.852
0.205 0.057 0.510
0.305 0.453 0.510
0.453 0.943 0.148
0.547 0.695 0.490
0.695 0.205 0.148
0.795 0.305 0.852
0.943 0.795 0.490
```

Values from the calculation:
As for the space group: I422, No. 97. Its uncorrected formation energy is -2704 meV per atom. The calculation puts the magnetic moment at 7.97 μB per formula unit.



[6]
VASP calculation (SCAN) on AgRh2ICl at its PBEsol-relaxed geometry.

Structure (POSCAR):
```
AgRh2ICl
1.0
4.768 0.000 0.000
0.000 4.768 0.000
0.000 0.000 5.346
Ag Rh I Cl
1 2 1 1
Direct
0.000 0.000 0.000
0.000 0.500 0.500
0.500 0.000 0.500
0.500 0.500 0.500
0.500 0.500 0.000
```

Values from the calculation:
As for the space group: P4/mmm, No. 123. Its uncorrected formation energy is 1060 meV per atom. The calculation puts the magnetic moment at 0.01 μB per formula unit.



[7]
VASP calculation (SCAN) on ZnCdPb2 at its PBEsol-relaxed geometry.

Structure (POSCAR):
```
ZnCdPb2
1.0
3.549 0.000 0.000
0.000 3.549 0.000
0.000 0.000 7.642
Zn Cd Pb
1 1 2
Direct
0.000 0.000 0.000
0.500 0.500 0.182
0.000 0.000 0.440
0.500 0.500 0.767
```

Values from the calculation:
Its formation energy from the elements is 0.12 eV/atom. As for the space group: P4mm, No. 99. The calculation puts the magnetic moment at 0.00 μB per formula unit.



[8]
VASP calculation (SCAN) on Hf2H2Pb at its PBEsol-relaxed geometry.

Structure (POSCAR):
```
Hf2H2Pb
1.0
-1.899 1.899 4.779
1.899 -1.899 4.779
1.899 1.899 -4.779
Hf H Pb
2 2 1
Direct
0.168 0.168 0.000
0.832 0.832 0.000
0.250 0.750 0.500
0.750 0.250 0.500
0.500 0.500 0.000
```

Values from the calculation:
As for the space group: I4/mmm, No. 139. The calculation puts the magnetic moment at 0.00 μB per formula unit.



| no. | final energy (eV/atom) | density of states at the Fermi level (states/eV/cell) |
| --- | --- | --- |
| 1 | -6.49 | 3.612 |
| 2 | -26.31 | 3.659 |
| 3 | -34.31 | 0.000 |
| 4 | -37.02 | 2.656 |
| 5 | -12.42 | 3.042 |
| 6 | -27.67 | 7.256 |
| 7 | -48.75 | 1.076 |
| 8 | -41.93 | 1.301 |